Entry 1:
DFT (PBE-GGA) results for a geometry-optimized Ac2TbAlPt6 structure.

Cell: 6.793 7.236 7.248 Å, 46.09 78.46 97.30°
Atoms (fractional coordinates):
Ac (0.194, 0.738, 0.544)
Ac (0.806, 0.262, 0.456)
Tb (0.500, 0.500, 0.000)
Al (0.000, 0.000, 0.000)
Pt (0.243, 0.762, 0.008)
Pt (0.602, 0.751, 0.153)
Pt (0.242, 0.247, 0.521)
Pt (0.757, 0.238, 0.992)
Pt (0.398, 0.249, 0.847)
Pt (0.758, 0.753, 0.479)

Summary:
Total magnetization   0.0000 μB per atom
Calculated formation energy   -914 meV/atom
Crystal system   triclinic


Entry 2:
DFT (PBE-GGA) results for a geometry-optimized CrSiAs structure.

Cell: 2.991 2.991 5.575 Å, 90.00 90.00 120.00°
Atoms (fractional coordinates):
Cr (0.667, 0.333, 0.013)
As (0.333, 0.667, 0.705)
Si (0.000, 0.000, 0.317)

Summary:
Total magnetization   0.1649 μB per atom
Raw total energy   -0.2394 hartree per atom
Crystal system   trigonal


Entry 3:
DFT (PBE-GGA) results for a geometry-optimized HfBTeO2 structure.

Cell: 3.985 5.119 3.985 Å, 90.00 90.00 90.00°
Atoms (fractional coordinates):
B (0.000, 0.500, 0.000)
Te (0.500, 0.500, 0.500)
Hf (0.000, 0.000, 0.000)
O (0.000, 0.000, 0.500)
O (0.500, 0.000, 0.000)

Summary:
Total magnetization   0.0000 μB per atom
E above lowest polymorph   0.000 eV per atom
Crystal system   tetragonal


Question: Among the records above, which one has the highest total magnetization?
Answer: CrSiAs